Below is crystalline KFe6H12S4O29 at its relaxed geometry, with properties calculated at the GGA+U level.

uncorrected energy = -298.2 eV/f.u.

abc: 7.4142 7.1478 10.2232
angles: 87.05 90.00 90.00
Each line ends with the local moment (μB).
Fractional positions:
H 0.7129 0.3243 0.9899  0.00
H 0.5000 0.4999 0.2074  0.01
H 0.0000 0.0378 0.6874  0.01
H 0.0000 0.9622 0.3126  0.01
H 0.2122 0.1969 0.5033  0.01
H 0.5000 0.5001 0.7926  0.01
H 0.7878 0.8031 0.4967  0.01
H 0.2871 0.6757 0.0101  0.00
H 0.7129 0.6757 0.0101  0.00
H 0.7878 0.1969 0.5033  0.01
H 0.2122 0.8031 0.4967  0.01
H 0.2871 0.3243 0.9899  0.00
Fe 0.2495 0.2663 0.7460  4.38
Fe 0.0000 0.5000 0.0000  1.17
Fe 0.2495 0.7337 0.2540  4.38
Fe 0.7505 0.7337 0.2540  4.38
Fe 0.5000 0.0000 0.5000  4.39
Fe 0.7505 0.2663 0.7460  4.38
O 0.1872 0.3447 0.9272  0.07
O 0.5000 0.7286 0.8987  0.03
O 0.8355 0.4813 0.3313  0.07
O 0.6911 0.1719 0.5680  0.23
O 0.5000 0.6264 0.2414  0.23
O 0.0000 0.1962 0.3851  0.02
O 0.5000 0.1552 0.3274  0.07
O 0.3352 0.9863 0.1637  0.06
O 0.0000 0.1574 0.7317  0.15
O 0.0000 0.8038 0.6149  0.02
O 0.0000 0.8426 0.2683  0.15
O 0.5000 0.8448 0.6726  0.07
O 0.3089 0.8281 0.4320  0.23
O 0.3089 0.1719 0.5680  0.23
O 0.1872 0.6553 0.0728  0.07
O 0.8355 0.5187 0.6687  0.07
O 0.5000 0.5000 0.5000  1.70
O 0.1645 0.5187 0.6687  0.07
O 0.8128 0.3447 0.9272  0.07
O 0.0000 0.6766 0.8394  -0.01
O 0.6911 0.8281 0.4320  0.23
O 0.0000 0.3234 0.1606  -0.01
O 0.5000 0.2714 0.1013  0.03
O 0.6648 0.0137 0.8363  0.06
O 0.5000 0.3736 0.7586  0.23
O 0.3352 0.0137 0.8363  0.06
O 0.6648 0.9863 0.1637  0.06
O 0.1645 0.4813 0.3313  0.07
O 0.8128 0.6553 0.0728  0.07
S 0.0000 0.6294 0.6982  0.01
S 0.0000 0.3706 0.3018  0.01
S 0.5000 0.8994 0.8117  0.01
S 0.5000 0.1006 0.1883  0.01
K 0.0000 0.0000 0.0000  0.00